Record 1
{
  "formula": "Ni2TeIr",
  "functional": "PBE",
  "state": "relaxed",
  "sg": "No. 25",
  "e_above_lowest_polymorph_mev_per_atom": 0,
  "e_form_raw_ev_per_atom": 0.163,
  "lattice_angstrom": [[3.365, 0.000, 0.000], [0.000, 4.082, 0.000], [0.000, 0.000, 4.234]],
  "species": ["Ni", "Ni", "Te", "Ir"],
  "frac_coords": [[0.000, 0.000, 0.000], [0.000, 0.500, 0.355], [0.500, 0.500, 0.881], [0.500, 0.000, 0.483]]
}

Record 2
{
  "formula": "LaY3Fe",
  "functional": "PBE",
  "state": "relaxed",
  "ef_ev_per_atom": 0.092,
  "sg": "No. 221",
  "e_above_lowest_polymorph_mev_per_atom": 0,
  "lattice_angstrom": [[5.341, 0.000, 0.000], [0.000, 5.341, 0.000], [0.000, 0.000, 5.341]],
  "species": ["La", "Y", "Y", "Y", "Fe"],
  "frac_coords": [[0.000, 0.000, 0.000], [0.000, 0.500, 0.500], [0.500, 0.000, 0.500], [0.500, 0.500, 0.000], [0.500, 0.500, 0.500]]
}

Record 3
{
  "formula": "SbP3C",
  "functional": "PBE",
  "state": "relaxed",
  "sg": "No. 221",
  "e_above_lowest_polymorph_mev_per_atom": 1533,
  "e_form_raw_ev_per_atom": 2.599,
  "lattice_angstrom": [[5.079, 0.000, 0.000], [0.000, 5.079, 0.000], [0.000, 0.000, 5.079]],
  "species": ["Sb", "P", "P", "P", "C"],
  "frac_coords": [[0.000, 0.000, 0.000], [0.000, 0.000, 0.500], [0.000, 0.500, 0.000], [0.500, 0.000, 0.000], [0.500, 0.500, 0.500]]
}

Record 4
{
  "formula": "Tm5Bi4Os",
  "functional": "PBE",
  "state": "relaxed",
  "ef_ev_per_atom": -0.523,
  "sg": "No. 79",
  "lattice_angstrom": [[-4.829, 4.829, 3.107], [4.829, -4.829, 3.107], [4.829, 4.829, -3.107]],
  "species": ["Tm", "Tm", "Tm", "Tm", "Tm", "Bi", "Bi", "Bi", "Bi", "Os"],
  "frac_coords": [[0.000, 0.000, 0.000], [0.373, 0.730, 0.828], [0.546, 0.373, 0.643], [0.730, 0.902, 0.357], [0.902, 0.546, 0.172], [0.057, 0.841, 0.615], [0.226, 0.442, 0.385], [0.442, 0.057, 0.216], [0.841, 0.226, 0.784], [0.554, 0.554, 0.000]]
}

Calculated density in order - 12483 5028 2874 10720 kg/m³